Nb2AuF after structural relaxation. Source: Alexandria, functional GGA-PBE.

E_tot	-6.561	eV per atom
E_form (uncorrected)	-0.239	eV/atom

Cell: 4.5154 4.5154 4.5154 Å, 60.00 60.00 60.00°
Element x y z (fractional)
Nb 0.2500 0.2500 0.2500
Nb 0.7500 0.7500 0.7500
F 0.0000 0.0000 0.0000
Au 0.5000 0.5000 0.5000